# 1
Computed, not measured: a geometry-optimized LaScCu structure at the PBE-GGA level of DFT.

size of the total moment	0.00	μB per formula unit
excess energy over the best structure of this formula in the dataset	851	meV/atom
energy	-53.153	eV/cell

Cell: 6.7577 6.7577 6.7577 Å, 90.00 90.00 90.00°
Closest atoms and distances in Å follow each position.
Space group F-43m (No. 216)
Inequivalent atoms, fractional coordinates:
La 0.0000 0.0000 0.0000 x4  4 Sc 2.93, 4 Cu 2.93
Sc 0.2500 0.2500 0.2500 x4  4 La 2.93
Cu 0.2500 0.2500 0.7500 x4  4 La 2.93



# 2
Computed, not measured: a geometry-optimized La2ScCu structure at the PBE-GGA level of DFT.

size of the total moment	2.01	μB per formula unit
excess energy over the best structure of this formula in the dataset	251	meV/atom
energy	-78.048	eV/cell

Cell: 7.4104 7.4104 7.4104 Å, 90.00 90.00 90.00°
Closest atoms and distances in Å follow each position.
Space group F-43m (No. 216)
Inequivalent atoms, fractional coordinates:
La 0.0000 0.0000 0.0000 x4  4 La 3.21, 4 Cu 3.21
La 0.2500 0.2500 0.2500 x4  4 Sc 3.21, 4 La 3.21
Sc 0.0000 0.0000 0.5000 x4  4 Cu 3.21, 4 La 3.21
Cu 0.2500 0.2500 0.7500 x4  4 La 3.21, 4 Sc 3.21



# 3
Computed, not measured: a geometry-optimized La2ScCu structure at the PBE-GGA level of DFT.

size of the total moment	0.00	μB per formula unit
excess energy over the best structure of this formula in the dataset	210	meV/atom
energy	-39.348	eV/cell

Cell: 4.5588 4.5588 10.1969 Å, 90.00 90.00 90.00°
Closest atoms and distances in Å follow each position.
Space group I-4m2 (No. 119)
Inequivalent atoms, fractional coordinates:
La 0.0000 0.0000 0.0000 x2  4 Cu 3.22, 4 La 3.42, 4 Sc 3.42
La 0.0000 0.5000 0.2500 x2  4 Sc 3.22, 4 La 3.42, 4 Cu 3.42
Sc 0.0000 0.5000 0.7500 x2  8 La 3.22-3.42, 4 Cu 3.42
Cu 0.0000 0.0000 0.5000 x2  8 La 3.22-3.42, 4 Sc 3.42



# 4
Computed, not measured: a geometry-optimized LaScCu3 structure at the PBE-GGA level of DFT.

size of the total moment	0.00	μB per formula unit
excess energy over the best structure of this formula in the dataset	1115	meV/atom
energy	-18.980	eV/cell

Cell: 5.0342 5.0342 5.0342 Å, 90.00 90.00 90.00°
Closest atoms and distances in Å follow each position.
Space group Pm-3m (No. 221)
Inequivalent atoms, fractional coordinates:
La 0.0000 0.0000 0.0000 x1  6 Cu 2.52
Sc 0.5000 0.5000 0.5000 x1  12 Cu 3.56
Cu 0.0000 0.0000 0.5000 x3  2 La 2.52



# 5
Computed, not measured: a geometry-optimized La2Sc2Cu structure at the PBE-GGA level of DFT.

size of the total moment	0.53	μB per formula unit
excess energy over the best structure of this formula in the dataset	205	meV/atom
energy	-50.362	eV/cell

Cell: 3.9514 3.9514 18.6970 Å, 90.00 90.00 90.00°
Closest atoms and distances in Å follow each position.
Space group I4/mmm (No. 139)
Inequivalent atoms, fractional coordinates:
La 0.0000 0.0000 0.0864 x4  4 Cu 3.23, 1 La 3.23
Sc 0.0000 0.5000 0.2500 x4  4 Sc 2.79
Cu 0.0000 0.0000 0.5000 x2  8 La 3.23



# 6
Computed, not measured: a geometry-optimized La2ScCu structure at the PBE-GGA level of DFT.

size of the total moment	0.00	μB per formula unit
excess energy over the best structure of this formula in the dataset	12	meV/atom
energy	-40.934	eV/cell

Cell: 12.3957 3.6114 5.3972 Å, 90.00 115.80 90.00°
Closest atoms and distances in Å follow each position.
Space group Cm (No. 8)
Inequivalent atoms, fractional coordinates:
La 0.0000 0.0000 0.0000 x2  2 Cu 3.19, 4 Sc 3.38, 2 La 3.55-3.56
La 0.2077 0.0000 0.7082 x2  4 Cu 3.26, 2 Sc 3.55, 4 La 3.55-3.61
Sc 0.4147 0.0000 0.4148 x2  2 Cu 2.70
Cu 0.2353 0.5000 0.2364 x2  2 Sc 2.70



# 7
Computed, not measured: a geometry-optimized LaScCu4 structure at the PBE-GGA level of DFT.

size of the total moment	0.00	μB per formula unit
excess energy over the best structure of this formula in the dataset	0	meV/atom
energy	-29.030	eV/cell

Cell: 4.3011 4.3011 6.8461 Å, 90.00 90.00 120.00°
Closest atoms and distances in Å follow each position.
Space group P6/mmm (No. 191)
Inequivalent atoms, fractional coordinates:
La 0.0000 0.0000 0.0000 x1  12 Cu 3.23, 2 Sc 3.42
Sc 0.0000 0.0000 0.5000 x1  12 Cu 2.83
Cu 0.3333 0.6667 0.3006 x4  4 Cu 2.48-2.73



# 8
Computed, not measured: a geometry-optimized LaSc3Cu structure at the PBE-GGA level of DFT.

size of the total moment	0.00	μB per formula unit
excess energy over the best structure of this formula in the dataset	0	meV/atom
energy	-27.721	eV/cell

Cell: 5.0893 5.0893 5.0893 Å, 90.00 90.00 90.00°
Closest atoms and distances in Å follow each position.
Space group Pm-3m (No. 221)
Inequivalent atoms, fractional coordinates:
La 0.0000 0.0000 0.0000 x1  12 Sc 3.60
Sc 0.0000 0.5000 0.5000 x3  2 Cu 2.54
Cu 0.5000 0.5000 0.5000 x1  6 Sc 2.54



Which of these has the highest energy?
LaScCu3



Repeat the fourth record exactly.
Computed, not measured: a geometry-optimized LaScCu3 structure at the PBE-GGA level of DFT.

size of the total moment	0.00	μB per formula unit
excess energy over the best structure of this formula in the dataset	1115	meV/atom
energy	-18.980	eV/cell

Cell: 5.0342 5.0342 5.0342 Å, 90.00 90.00 90.00°
Closest atoms and distances in Å follow each position.
Space group Pm-3m (No. 221)
Inequivalent atoms, fractional coordinates:
La 0.0000 0.0000 0.0000 x1  6 Cu 2.52
Sc 0.5000 0.5000 0.5000 x1  12 Cu 3.56
Cu 0.0000 0.0000 0.5000 x3  2 La 2.52



The highest energy belongs to which entry?
LaScCu3



size of the total moment of number 5 (La2Sc2Cu)?
0.53 μB per formula unit